Density functional theory data (GGA-PBE) for a geometry-optimized K2ZrTe3 structure.

Summary:
E_tot = -52.43 eV per cell
Symmetry = P2_1/m

Cell: 8.6137 4.3102 11.6453 Å, 90.00 94.87 90.00°
With the nearest neighbours (Å) after each atom.
Element x y z (fractional)
Te  0.1893  0.7500  0.5113  3 Zr 3.00-3.16
Te  0.8106  0.2500  0.4887  3 Zr 3.00-3.16
Te  0.6198  0.7500  0.1904  1 Zr 2.76
Zr  0.1020  0.2500  0.6731  5 Te 2.76-3.00
Te  0.9475  0.7500  0.7932  2 Zr 2.95
K  0.4182  0.2500  0.3533  6 Te 3.44-3.61
Zr  0.8980  0.7500  0.3269  5 Te 2.76-3.00
K  0.7497  0.2500  0.9831  6 Te 3.49-3.62
K  0.5818  0.7500  0.6467  6 Te 3.44-3.61
Te  0.0525  0.2500  0.2068  2 Zr 2.95
Te  0.3802  0.2500  0.8096  1 Zr 2.76
K  0.2503  0.7500  0.0169  6 Te 3.49-3.62

=====

Density functional theory data (GGA-PBE) for a geometry-optimized KZr3Te5 structure.

Summary:
E_tot = -50.46 eV per cell
Symmetry = P6/mmm

Cell: 6.3929 6.3929 8.5173 Å, 90.00 90.00 120.00°
With the nearest neighbours (Å) after each atom.
Element x y z (fractional)
Zr  0.5000  0.5000  0.5000  6 Te 2.92-3.20, 4 Zr 3.20
Zr  0.5000  0.0000  0.5000  6 Te 2.92-3.20, 4 Zr 3.20
Te  0.6667  0.3333  0.2343  3 Zr 2.92
Te  0.6667  0.3333  0.7657  3 Zr 2.92
Te  0.3333  0.6667  0.2343  3 Zr 2.92
K  0.0000  0.0000  0.0000  14 Te 4.20-4.26
Te  0.0000  0.0000  0.5000  6 Zr 3.20
Zr  0.0000  0.5000  0.5000  6 Te 2.92-3.20, 4 Zr 3.20
Te  0.3333  0.6667  0.7657  3 Zr 2.92

=====

Density functional theory data (GGA-PBE) for a geometry-optimized K2ZrTe3 structure.

Summary:
E_tot = -105.17 eV per cell
Symmetry = P2_1/c

Cell: 9.3006 14.3485 6.9926 Å, 90.00 105.96 90.00°
With the nearest neighbours (Å) after each atom.
Element x y z (fractional)
Zr  0.2925  0.2492  0.8100  6 Te 2.86-3.04
Te  0.9220  0.8498  0.5016  2 Zr 2.89-3.04
K  0.1017  0.6376  0.5579  5 Te 3.44-3.79
Te  0.5353  0.3120  0.1648  2 Zr 2.86-3.00
K  0.6558  0.0359  0.3372  5 Te 3.56-3.67
K  0.8983  0.3624  0.4421  5 Te 3.44-3.79
Zr  0.7075  0.7492  0.6900  6 Te 2.86-3.04
Te  0.7268  0.9155  0.9278  2 Zr 2.88-3.03
Zr  0.7075  0.7508  0.1900  6 Te 2.86-3.04
K  0.3442  0.5359  0.1628  5 Te 3.56-3.67
Te  0.9220  0.6502  0.0016  2 Zr 2.89-3.04
K  0.1017  0.8624  0.0579  5 Te 3.44-3.79
Zr  0.2925  0.2508  0.3100  6 Te 2.86-3.04
Te  0.2732  0.4155  0.5722  2 Zr 2.88-3.03
Te  0.2732  0.0845  0.0722  2 Zr 2.88-3.03
Te  0.7268  0.5845  0.4278  2 Zr 2.88-3.03
Te  0.4647  0.8120  0.3352  2 Zr 2.86-3.00
Te  0.0780  0.1502  0.4984  2 Zr 2.89-3.04
K  0.3442  0.9641  0.6628  5 Te 3.56-3.67
K  0.8983  0.1376  0.9421  5 Te 3.44-3.79
K  0.6558  0.4641  0.8372  5 Te 3.56-3.67
Te  0.4647  0.6880  0.8352  2 Zr 2.86-3.00
Te  0.0780  0.3498  0.9984  2 Zr 2.89-3.04
Te  0.5353  0.1880  0.6648  2 Zr 2.86-3.00

=====

Density functional theory data (GGA-PBE) for a geometry-optimized KThTl structure.

Summary:
Energy above the most stable polymorph in this dataset = 0 meV/atom
Symmetry = F-43m

Cell: 5.4725 5.4725 5.4725 Å, 60.00 60.00 60.00°
With the nearest neighbours (Å) after each atom.
Element x y z (fractional)
Tl  0.0000  0.0000  0.0000  4 Th 3.35, 4 K 3.35
Th  0.7500  0.7500  0.7500  4 Tl 3.35
K  0.2500  0.2500  0.2500  4 Tl 3.35

=====

Density functional theory data (GGA-PBE) for a geometry-optimized KTmTh structure.

Summary:
Energy above the most stable polymorph in this dataset = 0 meV/atom
Symmetry = F-43m

Cell: 5.7123 5.7123 5.7123 Å, 60.00 60.00 60.00°
With the nearest neighbours (Å) after each atom.
Element x y z (fractional)
Tm  0.0000  0.0000  0.0000  4 Th 3.50, 4 K 3.50
Th  0.7500  0.7500  0.7500  4 Tm 3.50
K  0.2500  0.2500  0.2500  4 Tm 3.50

=====

Density functional theory data (GGA-PBE) for a geometry-optimized KThW structure.

Summary:
Energy above the most stable polymorph in this dataset = 0 meV/atom
Symmetry = F-43m

Cell: 5.0782 5.0782 5.0782 Å, 60.00 60.00 60.00°
With the nearest neighbours (Å) after each atom.
Element x y z (fractional)
K  0.0000  0.0000  0.0000  4 W 3.11
W  0.2500  0.2500  0.2500  4 Th 3.11, 4 K 3.11
Th  0.5000  0.5000  0.5000  4 W 3.11

=====

Density functional theory data (GGA-PBE) for a geometry-optimized KY2Th3 structure.

Summary:
E_tot = -35.06 eV per cell
Symmetry = P-3m1

Cell: 3.5492 3.5492 19.0456 Å, 90.00 90.00 120.00°
With the nearest neighbours (Å) after each atom.
Element x y z (fractional)
K  0.0000  0.0000  0.5000  6 K 3.55
Th  0.6667  0.3333  0.6922  6 Th 3.55, 3 Y 3.56
Th  0.3333  0.6667  0.3078  6 Th 3.55, 3 Y 3.56
Th  0.0000  0.0000  0.0000  6 Th 3.55, 6 Y 3.59
Y  0.3333  0.6667  0.8452  6 Y 3.55, 6 Th 3.56-3.59
Y  0.6667  0.3333  0.1548  6 Y 3.55, 6 Th 3.56-3.59

=====

Density functional theory data (GGA-PBE) for a geometry-optimized KTmTl structure.

Summary:
Energy above the most stable polymorph in this dataset = 0 meV/atom
Symmetry = F-43m

Cell: 5.4654 5.4654 5.4654 Å, 60.00 60.00 60.00°
With the nearest neighbours (Å) after each atom.
Element x y z (fractional)
Tl  0.0000  0.0000  0.0000  4 Tm 3.35, 4 K 3.35
Tm  0.7500  0.7500  0.7500  4 Tl 3.35
K  0.2500  0.2500  0.2500  4 Tl 3.35